Density functional theory data (PBE+U) for a geometry-optimized Be2CrPtO8 structure.

Cell lengths 5.201, 5.201, 5.455 Å; angles 90.00, 90.00, 120.00 degrees
Fractional coordinates of all 12 atoms:
Cr: 0.000 0.000 0.000
Be: 0.667 0.333 0.184
O: 0.333 0.667 0.126
O: 0.212 0.893 0.755
O: 0.788 0.107 0.245
Be: 0.333 0.667 0.816
O: 0.319 0.212 0.245
O: 0.107 0.319 0.755
O: 0.893 0.681 0.245
O: 0.667 0.333 0.874
O: 0.681 0.788 0.755
Pt: 0.000 0.000 0.500

Calculated values
Space-group type   P-3
E_tot   -5.984 eV/atom